[1]
Material: TcOs2Ru
Method: DFT, GGA-PBEsol
State: optimized geometry

The structure in POSCAR format:
```
TcOs2Ru
1.0
2.7204 0.0000 0.0000
0.0000 4.2982 0.0000
0.0000 0.0000 4.7123
Os Ru Tc
2 1 1
direct
0.0000 0.5000 0.7921
0.5000 0.0000 0.9604
0.0000 0.0000 0.4548
0.5000 0.5000 0.2927
```

Properties
ΔE_f: -0.07 eV per atom
Space group: Pmm2 (25)
DOS at the Fermi energy: 2.79 states/eV/f.u.
Energy relative to the lowest polymorph listed for this composition: 0.000 eV per atom

---

[2]
Material: TcOsRu
Method: DFT, GGA-PBEsol
State: optimized geometry

The structure in POSCAR format:
```
TcOsRu
1.0
-1.1920 -1.3746 -1.9807
2.6294 -0.3205 0.4660
-1.3442 -4.9038 4.2121
Ru Os Tc
1 1 1
direct
0.3333 0.6667 0.6650
0.0000 0.0000 0.0012
0.6667 0.3333 0.3338
```

Properties
ΔE_f: 0.08 eV per atom
Space group: P3m1 (156)
DOS at the Fermi energy: 3.08 states/eV/f.u.

---

[3]
Material: TcOs2Ru
Method: DFT, GGA-PBEsol
State: optimized geometry

The structure in POSCAR format:
```
TcOs2Ru
1.0
2.6918 0.0000 0.0000
1.3459 2.3312 0.0000
1.3459 0.7771 8.8167
Os Ru Tc
2 1 1
direct
0.7505 0.7505 0.7486
0.9998 0.9998 0.0007
0.5002 0.5002 0.4995
0.2496 0.2496 0.2512
```

Properties
ΔE_f: 0.10 eV per atom
Space group: R3m (160)
DOS at the Fermi energy: 4.03 states/eV/f.u.
Energy relative to the lowest polymorph listed for this composition: 0.175 eV per atom

---

[4]
Material: TcOs2Ru
Method: DFT, GGA-PBEsol
State: optimized geometry

The structure in POSCAR format:
```
TcOs2Ru
1.0
-0.2755 -1.4738 2.2620
4.4128 -0.1950 0.4104
-2.1336 4.8425 1.2673
Os Tc Ru
2 1 1
direct
0.7751 0.7751 0.5502
0.2249 0.2249 0.4498
0.0000 0.5000 0.0000
0.5000 0.0000 0.0000
```

Properties
ΔE_f: 0.54 eV per atom
Space group: Immm (71)
DOS at the Fermi energy: 5.56 states/eV/f.u.
Energy relative to the lowest polymorph listed for this composition: 0.616 eV per atom

---

[5]
Material: TcOsRu2
Method: DFT, GGA-PBEsol
State: optimized geometry

The structure in POSCAR format:
```
TcOsRu2
1.0
2.6800 0.0000 0.0000
1.3400 2.3210 0.0000
1.3400 0.7737 8.7851
Ru Tc Os
2 1 1
direct
0.2498 0.2498 0.2506
0.7502 0.7502 0.7494
0.5000 0.5000 0.5000
0.0000 0.0000 0.0000
```

Properties
ΔE_f: 0.10 eV per atom
Space group: R-3m (166)
DOS at the Fermi energy: 4.34 states/eV/f.u.
Energy relative to the lowest polymorph listed for this composition: 0.167 eV per atom

---

[6]
Material: TcOsRu2
Method: DFT, GGA-PBEsol
State: optimized geometry

The structure in POSCAR format:
```
TcOsRu2
1.0
-2.1686 -1.1683 -1.1278
0.5545 -3.4378 2.4949
-2.7472 1.9355 3.2776
Os Tc Ru
1 1 2
direct
0.5000 0.5000 0.2086
0.5000 0.0000 0.5406
0.0000 0.5000 0.7070
0.0000 0.0000 0.0439
```

Properties
ΔE_f: -0.07 eV per atom
Space group: Pmm2 (25)
DOS at the Fermi energy: 2.82 states/eV/f.u.
Energy relative to the lowest polymorph listed for this composition: 0.000 eV per atom